1.
Below is crystalline Re3RuPb at its relaxed geometry, with properties calculated at the PBE-GGA level.

Results
* formation energy: 2038 meV/atom
* density: 13.54 g/cm3
* space-group type: Pm-3m (221)
* energy above the most stable polymorph in this dataset: 0.00 eV/f.u.

```
5
Lattice="4.737 0.000 0.000 0.000 4.737 0.000 0.000 0.000 4.737" Properties=species:S:1:pos:R:3 pbc="T T T"
Re 0.000 0.000 2.369
Pb 2.369 2.369 2.369
Ru 0.000 0.000 0.000
Re 0.000 2.369 0.000
Re 2.369 0.000 0.000
```

---

2.
Below is crystalline VPb2W at its relaxed geometry, with properties calculated at the PBE-GGA level.

Results
* formation energy: 1292 meV/atom
* density: 12.00 g/cm3
* space-group type: I-42d (122)
* energy above the most stable polymorph in this dataset: 1.37 eV/f.u.

```
8
Lattice="-4.390 -6.311 -1.071 6.358 -4.450 0.162 0.698 -5.682 2.498" Properties=species:S:1:pos:R:3 pbc="T T T"
V 4.020 -7.756 1.102
Pb 3.596 -4.996 0.591
V 0.984 -5.380 -0.455
W -1.354 -8.687 0.486
Pb 1.267 -8.301 1.532
W 0.000 0.000 0.000
Pb 2.240 -13.674 1.077
Pb -1.770 -5.916 -0.024
```

---

3.
Below is crystalline HOsRh at its relaxed geometry, with properties calculated at the PBE-GGA level.

Results
* density: 15.85 g/cm3
* space-group type: Imma (74)
* energy above the most stable polymorph in this dataset: 0.35 eV/f.u.

```
6
Lattice="4.837 0.008 0.002 1.614 3.614 0.000 1.608 -0.718 3.530" Properties=species:S:1:pos:R:3 pbc="T T T"
Os 3.978 -0.082 2.776
H 0.857 1.311 0.076
H 2.964 0.373 1.125
Rh 3.936 2.105 1.036
Os 6.286 1.056 1.957
Rh 6.334 3.201 0.166
```

---

4.
Below is crystalline TiRhNO2 at its relaxed geometry, with properties calculated at the PBE-GGA level.

Results
* density: 5.62 g/cm3
* space-group type: P4/mmm (123)
* energy relative to the elements, uncorrected: -0.5565 eV/atom

```
5
Lattice="-0.569 -0.476 3.695 3.630 -0.911 0.441 0.910 3.941 0.648" Properties=species:S:1:pos:R:3 pbc="T T T"
O -0.284 -0.238 1.847
Ti 0.000 0.000 0.000
Rh 1.986 1.277 2.392
O 1.815 -0.455 0.221
N 0.455 1.971 0.324
```

---

5.
Below is crystalline TmHg8 at its relaxed geometry, with properties calculated at the PBE-GGA level.

Results
* formation energy: -111 meV/atom
* density: 13.22 g/cm3
* space-group type: I4/mmm (139)

```
9
Lattice="-2.464 -1.565 3.261 -4.056 -5.598 -2.814 3.945 -5.389 3.332" Properties=species:S:1:pos:R:3 pbc="T T T"
Hg 1.284 -5.458 1.288
Hg -1.395 -5.528 -0.770
Hg -0.894 -7.853 1.430
Tm 0.000 0.000 0.000
Hg 1.007 -4.654 4.402
Hg -2.163 -2.369 0.166
Hg -1.682 -4.699 2.349
Hg 0.474 -2.301 2.191
Hg -4.358 -4.794 0.281
```

---

6.
Below is crystalline AcTlZnGa at its relaxed geometry, with properties calculated at the PBE-GGA level.

Results
* formation energy: -207 meV/atom
* density: 8.93 g/cm3
* space-group type: F-43m (216)

```
4
Lattice="-2.311 4.401 -1.843 -2.830 -0.169 -4.480 -5.275 0.498 0.177" Properties=species:S:1:pos:R:3 pbc="T T T"
Zn -7.812 3.548 -4.610
Ac 0.000 0.000 0.000
Ga -2.604 1.183 -1.537
Tl -5.208 2.365 -3.073
```

---

7.
Below is crystalline BP5Pb6O20 at its relaxed geometry, with properties calculated at the PBE-GGA level.

Results
* density: 5.72 g/cm3
* space-group type: P-4 (81)
* energy relative to the elements, uncorrected: -1.9761 eV/atom

```
32
Lattice="-1.880 6.703 -1.164 -5.707 -0.896 4.055 5.282 2.883 8.072" Properties=species:S:1:pos:R:3 pbc="T T T"
O -0.011 7.078 6.836
O -1.113 2.979 4.944
Pb -2.752 -0.393 2.182
O -4.290 6.301 5.073
Pb -2.350 6.886 7.670
O 1.274 7.051 4.690
O 0.209 4.888 5.396
O -0.643 3.434 2.396
P 0.000 0.000 0.000
P -3.574 5.178 4.285
Pb -0.714 5.922 2.319
Pb -3.537 1.706 5.671
O -4.251 3.843 4.610
O 2.094 5.622 6.723
O -2.091 1.515 3.284
Pb 1.990 2.865 6.266
O -1.673 4.260 6.852
O 0.502 1.579 3.623
O -2.025 6.029 0.240
P 0.903 6.229 5.948
O -1.812 7.591 9.965
O 0.295 3.024 8.084
O -2.096 2.448 8.539
Pb 4.241 6.179 7.335
O -3.429 5.419 2.765
O -4.664 0.268 4.024
O -1.184 4.822 9.154
O -2.033 5.251 4.734
B -1.153 4.345 5.481
P -1.119 3.601 8.209
P -0.821 2.371 3.485
O 3.891 3.491 7.698
```

---

8.
Below is crystalline LaCoB at its relaxed geometry, with properties calculated at the PBE-GGA level.

Results
* formation energy: -404 meV/atom
* density: 6.40 g/cm3
* space-group type: P4/nmm (129)
* energy above the most stable polymorph in this dataset: 0.00 eV/f.u.

```
6
Lattice="3.596 0.000 0.000 0.000 3.596 0.000 0.000 0.000 8.376" Properties=species:S:1:pos:R:3 pbc="T T T"
Co 1.798 1.798 4.188
Co 0.000 0.000 4.188
La 0.000 1.798 6.597
B 1.798 0.000 5.112
B 0.000 1.798 3.264
La 1.798 0.000 1.779
```